(i)
Compound: HoSnPb2
Source: Alexandria via LeMat-Bulk
Functional: PBE
Structure: relaxed

Lattice parameters (Å, degrees): 4.190 4.190 6.506 90.00 90.00 90.00
Atoms (fractional coordinates):
1 Ho 0.000 0.000 0.000
2 Sn 0.000 0.000 0.500
3 Pb 0.500 0.500 0.248
4 Pb 0.500 0.500 0.752

## Properties
As for the space group: P4/mmm (123).


(ii)
Compound: HoSnPb2
Source: Alexandria via LeMat-Bulk
Functional: PBE
Structure: relaxed

Lattice parameters (Å, degrees): 4.803 4.803 4.865 90.00 90.00 90.00
Atoms (fractional coordinates):
1 Ho 0.000 0.000 0.000
2 Sn 0.500 0.500 0.000
3 Pb 0.000 0.500 0.500
4 Pb 0.500 0.000 0.500

## Properties
As for the space group: P4/mmm (123).


(iii)
Compound: HoSnPb2
Source: Alexandria via LeMat-Bulk
Functional: PBE
Structure: relaxed

Lattice parameters (Å, degrees): 12.056 12.056 12.056 16.68 16.68 16.68
Atoms (fractional coordinates):
1 Ho 0.000 0.000 0.000
2 Sn 0.500 0.500 0.500
3 Pb 0.089 0.089 0.089
4 Pb 0.911 0.911 0.911

## Properties
As for the space group: R-3m (166).


Which structure is most stable? (ii), by 81 meV per atom over the runner-up.


(i)
Compound: Tb2HoPb
Source: Alexandria via LeMat-Bulk
Functional: PBE
Structure: relaxed

Lattice parameters (Å, degrees): 3.618 3.618 9.342 90.00 90.00 90.00
Atoms (fractional coordinates):
1 Tb 0.000 0.000 0.236
2 Tb 0.000 0.000 0.764
3 Ho 0.500 0.500 0.500
4 Pb 0.500 0.500 0.000

## Properties
As for the space group: P4/mmm (123).


(ii)
Compound: Tb2HoPb
Source: Alexandria via LeMat-Bulk
Functional: PBE
Structure: relaxed

Lattice parameters (Å, degrees): 4.852 4.852 4.867 90.00 90.00 90.00
Atoms (fractional coordinates):
1 Tb 0.000 0.500 0.000
2 Tb 0.500 0.000 0.000
3 Ho 0.000 0.000 0.500
4 Pb 0.500 0.500 0.500

## Properties
As for the space group: P4/mmm (123).


Which structure is most stable? (ii), by 76 meV per atom over the runner-up.


(i)
Compound: Tb3HoPb2
Source: Alexandria via LeMat-Bulk
Functional: PBE
Structure: relaxed

Lattice parameters (Å, degrees): 8.375 8.375 4.419 90.00 90.00 145.87
Atoms (fractional coordinates):
1 Tb 0.000 0.000 0.000
2 Tb 0.325 0.675 0.000
3 Tb 0.675 0.325 0.000
4 Ho 0.500 0.500 0.500
5 Pb 0.151 0.849 0.500
6 Pb 0.849 0.151 0.500

## Properties
As for the space group: Cmmm (65).


(ii)
Compound: Tb3HoPb2
Source: Alexandria via LeMat-Bulk
Functional: PBE
Structure: relaxed

Lattice parameters (Å, degrees): 4.568 4.568 8.607 90.00 90.00 90.00
Atoms (fractional coordinates):
1 Tb 0.000 0.000 0.000
2 Tb 0.000 0.500 0.658
3 Tb 0.500 0.000 0.342
4 Ho 0.500 0.500 0.000
5 Pb 0.000 0.500 0.285
6 Pb 0.500 0.000 0.715

## Properties
As for the space group: P-4m2 (115).


Which structure is most stable? (ii), by 55 meV per atom over the runner-up.


(i)
Compound: Ho2TcPb
Source: Alexandria via LeMat-Bulk
Functional: PBE
Structure: relaxed

Lattice parameters (Å, degrees): 3.563 3.563 7.568 90.00 90.00 90.00
Atoms (fractional coordinates):
1 Ho 0.000 0.000 0.210
2 Ho 0.000 0.000 0.790
3 Tc 0.500 0.500 0.000
4 Pb 0.500 0.500 0.500

## Properties
As for the space group: P4/mmm (123).


(ii)
Compound: Ho2TcPb
Source: Alexandria via LeMat-Bulk
Functional: PBE
Structure: relaxed

Lattice parameters (Å, degrees): 10.702 10.702 10.702 18.60 18.60 18.60
Atoms (fractional coordinates):
1 Ho 0.104 0.104 0.104
2 Ho 0.896 0.896 0.896
3 Tc 0.500 0.500 0.500
4 Pb 0.000 0.000 0.000

## Properties
As for the space group: R-3m (166).


Which structure is most stable? (i), by 372 meV per atom over the runner-up.


(i)
Compound: Ho2ThPb
Source: Alexandria via LeMat-Bulk
Functional: PBE
Structure: relaxed

Lattice parameters (Å, degrees): 3.638 3.638 9.011 90.00 90.00 90.00
Atoms (fractional coordinates):
1 Ho 0.000 0.000 0.237
2 Ho 0.000 0.000 0.763
3 Th 0.500 0.500 0.500
4 Pb 0.500 0.500 0.000

## Properties
As for the space group: P4/mmm (123).


(ii)
Compound: Ho2ThPb
Source: Alexandria via LeMat-Bulk
Functional: PBE
Structure: relaxed

Lattice parameters (Å, degrees): 12.068 12.068 12.068 16.91 16.91 16.91
Atoms (fractional coordinates):
1 Ho 0.089 0.089 0.089
2 Ho 0.911 0.911 0.911
3 Th 0.500 0.500 0.500
4 Pb 0.000 0.000 0.000

## Properties
As for the space group: R-3m (166).


Which structure is most stable? (i), by 253 meV per atom over the runner-up.


(i)
Compound: Ho2ThPb
Source: Alexandria via LeMat-Bulk
Functional: PBE
Structure: relaxed

Lattice parameters (Å, degrees): 11.194 11.194 11.194 18.34 18.34 18.34
Atoms (fractional coordinates):
1 Ho 0.000 0.000 0.000
2 Ho 0.174 0.174 0.174
3 Th 0.754 0.754 0.754
4 Pb 0.587 0.587 0.587

## Properties
As for the space group: R3m (160).


(ii)
Compound: Ho2ThPb
Source: Alexandria via LeMat-Bulk
Functional: PBE
Structure: relaxed

Lattice parameters (Å, degrees): 4.944 4.944 4.759 90.00 90.00 90.00
Atoms (fractional coordinates):
1 Ho 0.000 0.500 0.000
2 Ho 0.500 0.000 0.000
3 Th 0.000 0.000 0.500
4 Pb 0.500 0.500 0.500

## Properties
As for the space group: P4/mmm (123).


Which structure is most stable? (ii), by 95 meV per atom over the runner-up.


(i)
Compound: HoThPb2
Source: Alexandria via LeMat-Bulk
Functional: PBE
Structure: relaxed

Lattice parameters (Å, degrees): 5.504 5.504 5.504 60.00 60.00 60.00
Atoms (fractional coordinates):
1 Ho 0.000 0.000 0.000
2 Th 0.500 0.500 0.500
3 Pb 0.250 0.250 0.250
4 Pb 0.750 0.750 0.750

## Properties
As for the space group: Fm-3m (225).


(ii)
Compound: HoThPb2
Source: Alexandria via LeMat-Bulk
Functional: PBE
Structure: relaxed

Lattice parameters (Å, degrees): 3.593 3.593 8.978 90.00 90.00 90.00
Atoms (fractional coordinates):
1 Ho 0.000 0.000 0.000
2 Th 0.000 0.000 0.500
3 Pb 0.500 0.500 0.240
4 Pb 0.500 0.500 0.760

## Properties
As for the space group: P4/mmm (123).


(iii)
Compound: HoThPb2
Source: Alexandria via LeMat-Bulk
Functional: PBE
Structure: relaxed

Lattice parameters (Å, degrees): 10.869 10.869 10.869 19.00 19.00 19.00
Atoms (fractional coordinates):
1 Ho 0.000 0.000 0.000
2 Th 0.500 0.500 0.500
3 Pb 0.253 0.253 0.253
4 Pb 0.747 0.747 0.747

## Properties
As for the space group: R-3m (166).


(iv)
Compound: HoThPb2
Source: Alexandria via LeMat-Bulk
Functional: PBE
Structure: relaxed

Lattice parameters (Å, degrees): 5.057 5.057 4.549 90.00 90.00 90.00
Atoms (fractional coordinates):
1 Ho 0.000 0.000 0.000
2 Th 0.500 0.500 0.000
3 Pb 0.000 0.500 0.500
4 Pb 0.500 0.000 0.500

## Properties
As for the space group: P4/mmm (123).


Which structure is most stable? (ii), by 9 meV per atom over the runner-up.


(i)
Compound: HoThPb
Source: Alexandria via LeMat-Bulk
Functional: PBE
Structure: relaxed

Lattice parameters (Å, degrees): 9.381 9.381 9.381 151.79 151.79 40.32
Atoms (fractional coordinates):
1 Ho 0.174 0.174 0.000
2 Ho 0.826 0.826 0.000
3 Th 0.000 0.500 0.500
4 Th 0.500 0.000 0.500
5 Pb 0.353 0.353 0.000
6 Pb 0.647 0.647 0.000

## Properties
As for the space group: I4/mmm (139).


(ii)
Compound: HoThPb
Source: Alexandria via LeMat-Bulk
Functional: PBE
Structure: relaxed

Lattice parameters (Å, degrees): 4.607 4.607 8.783 90.00 90.00 90.00
Atoms (fractional coordinates):
1 Ho 0.250 0.250 0.149
2 Ho 0.750 0.750 0.851
3 Th 0.250 0.750 0.500
4 Th 0.750 0.250 0.500
5 Pb 0.250 0.250 0.791
6 Pb 0.750 0.750 0.209

## Properties
As for the space group: P4/nmm (129).


(iii)
Compound: HoThPb
Source: Alexandria via LeMat-Bulk
Functional: PBE
Structure: relaxed

Lattice parameters (Å, degrees): 5.452 5.452 3.589 90.00 90.00 120.00
Atoms (fractional coordinates):
1 Ho 0.000 0.000 0.000
2 Th 0.333 0.667 0.477
3 Pb 0.667 0.333 0.817

## Properties
As for the space group: P3m1 (156).


Which structure is most stable? (i), by 41 meV per atom over the runner-up.